No. 1
# MgBiTe2O8

MgBiTe2O8 after structural relaxation (GGA-PBE, the Alexandria database).

Results
space group: P-3m1
VASP energy: -0.1983 hartree per atom
formation energy (no corrections): -1.11 eV per atom

Lattice parameters (Å, degrees): 5.937 5.937 6.569 90.00 90.00 120.00
Positions (direct):
Mg (0.000, 0.000, 0.000)
Bi (0.000, 0.000, 0.500)
Te (0.333, 0.667, 0.724)
Te (0.667, 0.333, 0.276)
O (0.151, 0.303, 0.784)
O (0.151, 0.849, 0.784)
O (0.303, 0.151, 0.216)
O (0.333, 0.667, 0.446)
O (0.667, 0.333, 0.554)
O (0.697, 0.849, 0.784)
O (0.849, 0.151, 0.216)
O (0.849, 0.697, 0.216)

=====

No. 2
# Mg2TiBiO

Mg2TiBiO after structural relaxation (GGA-PBE, the Alexandria database).

Results
space group: P4/mmm
VASP energy: -0.1128 hartree per atom
formation energy (no corrections): 0.92 eV per atom

Lattice parameters (Å, degrees): 5.380 5.380 5.370 90.00 90.00 90.00
Positions (direct):
Mg (0.000, 0.500, 0.000)
Mg (0.500, 0.000, 0.000)
Ti (0.000, 0.000, 0.500)
Bi (0.000, 0.000, 0.000)
O (0.500, 0.500, 0.500)

=====

No. 3
# MgTiBi2O6

MgTiBi2O6 after structural relaxation (GGA-PBE, the Alexandria database).

Results
space group: P2_1/c
VASP energy: -0.2487 hartree per atom
formation energy (no corrections): -2.07 eV per atom

Lattice parameters (Å, degrees): 5.486 5.735 9.570 90.00 124.70 90.00
Positions (direct):
Mg (0.000, 0.000, 0.000)
Mg (0.000, 0.500, 0.500)
Ti (0.500, 0.000, 0.500)
Ti (0.500, 0.500, 0.000)
Bi (0.239, 0.052, 0.749)
Bi (0.239, 0.448, 0.249)
Bi (0.761, 0.552, 0.751)
Bi (0.761, 0.948, 0.251)
O (0.156, 0.189, 0.453)
O (0.156, 0.311, 0.953)
O (0.265, 0.708, 0.450)
O (0.265, 0.792, 0.950)
O (0.356, 0.031, 0.257)
O (0.356, 0.469, 0.757)
O (0.644, 0.531, 0.243)
O (0.644, 0.969, 0.743)
O (0.735, 0.208, 0.050)
O (0.735, 0.292, 0.550)
O (0.844, 0.689, 0.047)
O (0.844, 0.811, 0.547)

=====

No. 4
# MgTiBi2O6

MgTiBi2O6 after structural relaxation (GGA-PBE, the Alexandria database).

Results
space group: R3
VASP energy: -0.2492 hartree per atom
formation energy (no corrections): -2.08 eV per atom

Lattice parameters (Å, degrees): 5.732 5.732 5.732 58.85 58.85 58.85
Positions (direct):
Mg (0.000, 0.000, 0.000)
Ti (0.499, 0.499, 0.499)
Bi (0.224, 0.224, 0.224)
Bi (0.717, 0.717, 0.717)
O (0.202, 0.773, 0.334)
O (0.295, 0.669, 0.837)
O (0.334, 0.202, 0.773)
O (0.669, 0.837, 0.295)
O (0.773, 0.334, 0.202)
O (0.837, 0.295, 0.669)

=====

No. 5
# Mg2TlBiO6

Mg2TlBiO6 after structural relaxation (GGA-PBE, the Alexandria database).

Results
space group: R3
VASP energy: -0.2012 hartree per atom
formation energy (no corrections): -1.56 eV per atom

Lattice parameters (Å, degrees): 5.807 5.807 5.807 56.27 56.27 56.27
Positions (direct):
Mg (0.000, 0.000, 0.000)
Mg (0.495, 0.495, 0.495)
Tl (0.217, 0.217, 0.217)
Bi (0.703, 0.703, 0.703)
O (0.107, 0.783, 0.396)
O (0.293, 0.634, 0.871)
O (0.396, 0.107, 0.783)
O (0.634, 0.871, 0.293)
O (0.783, 0.396, 0.107)
O (0.871, 0.293, 0.634)

=====

No. 6
# Tm2MgBiO6

Tm2MgBiO6 after structural relaxation (GGA-PBE, the Alexandria database).

Results
space group: R3
VASP energy: -0.2578 hartree per atom
formation energy (no corrections): -2.60 eV per atom

Lattice parameters (Å, degrees): 5.950 5.950 5.950 56.74 56.74 56.74
Positions (direct):
Tm (0.000, 0.000, 0.000)
Tm (0.495, 0.495, 0.495)
Mg (0.711, 0.711, 0.711)
Bi (0.212, 0.212, 0.212)
O (0.091, 0.810, 0.411)
O (0.319, 0.611, 0.890)
O (0.411, 0.091, 0.810)
O (0.611, 0.890, 0.319)
O (0.810, 0.411, 0.091)
O (0.890, 0.319, 0.611)

=====

No. 7
# MgUBiO6

MgUBiO6 after structural relaxation (GGA-PBE, the Alexandria database).

Results
space group: P-31c
VASP energy: -0.2735 hartree per atom
formation energy (no corrections): -2.28 eV per atom

Lattice parameters (Å, degrees): 5.470 5.470 9.669 90.00 90.00 120.00
Positions (direct):
Mg (0.333, 0.667, 0.250)
Mg (0.667, 0.333, 0.750)
U (0.333, 0.667, 0.750)
U (0.667, 0.333, 0.250)
Bi (0.000, 0.000, 0.000)
Bi (0.000, 0.000, 0.500)
O (0.005, 0.351, 0.636)
O (0.005, 0.654, 0.864)
O (0.346, 0.351, 0.864)
O (0.346, 0.995, 0.636)
O (0.351, 0.005, 0.136)
O (0.351, 0.346, 0.364)
O (0.649, 0.654, 0.636)
O (0.649, 0.995, 0.864)
O (0.654, 0.005, 0.364)
O (0.654, 0.649, 0.136)
O (0.995, 0.346, 0.136)
O (0.995, 0.649, 0.364)

=====

No. 8
# Mg2UBiO8

Mg2UBiO8 after structural relaxation (GGA-PBE, the Alexandria database).

Results
space group: I-4m2
VASP energy: -0.2494 hartree per atom
formation energy (no corrections): -1.95 eV per atom

Lattice parameters (Å, degrees): 5.936 5.936 5.936 112.14 112.14 104.25
Positions (direct):
Mg (0.000, 0.000, 0.000)
Mg (0.750, 0.250, 0.500)
U (0.250, 0.750, 0.500)
Bi (0.500, 0.500, 0.000)
O (0.143, 0.457, 0.686)
O (0.204, 0.007, 0.803)
O (0.204, 0.401, 0.197)
O (0.543, 0.228, 0.686)
O (0.543, 0.857, 0.314)
O (0.599, 0.796, 0.803)
O (0.772, 0.457, 0.314)
O (0.993, 0.796, 0.197)

=====

| no. | mass density (g/cm³) |
| --- | --- |
| 1 | 5.105 |
| 2 | 3.434 |
| 3 | 7.863 |
| 4 | 7.506 |
| 5 | 7.323 |
| 6 | 8.043 |
| 7 | 7.519 |
| 8 | 6.473 |